This record from Alexandria via LeMat-Bulk describes SrSc2Ru after structural relaxation. The functional is PBE.

Lattice parameters (Å, degrees): 8.0103 8.0103 8.0103 30.08 30.08 30.08
Positions (direct):
1 Sr 0.0000 0.0000 0.0000
2 Sc 0.5476 0.5476 0.5476
3 Sc 0.7882 0.7882 0.7882
4 Ru 0.1690 0.1690 0.1690

Summary:
The value obtained for the density of states at the Fermi level is 4.0 states/eV/cell. The calculation puts the total energy at -5.970 eV per atom. Its theoretical density is 4.04 g/cm3. Its formation energy from the elements is -65 meV/atom. Its energy relative to the lowest polymorph listed for this composition is 137.4 meV/atom. Its magnetic moment is 0.071 μB per atom.